Record 1
First-principles (PBE) data for an optimized crystal structure of UAgPO6, as listed in Alexandria.

a = 5.2224 Å, b = 5.2224 Å, c = 5.1385 Å
α = 90.00°, β = 90.00°, γ = 120.00°
Fractional coordinates of all 9 atoms:
U 0.0000 0.0000 0.0000
Ag 0.3333 0.6667 0.5000
P 0.6667 0.3333 0.0000
O 0.3867 0.0675 0.8085
O 0.3867 0.3192 0.1915
O 0.6808 0.0675 0.1915
O 0.6808 0.6133 0.8085
O 0.9325 0.3192 0.8085
O 0.9325 0.6133 0.1915

Summary:
Raw formation energy in eV per atom: -1.94
Symmetry: P312

Record 2
First-principles (PBE) data for an optimized crystal structure of BI2N, as listed in Alexandria.

a = 5.9845 Å, b = 5.9845 Å, c = 5.9845 Å
α = 115.91°, β = 115.91°, γ = 97.24°
Fractional coordinates of all 8 atoms:
B 0.0000 0.0000 0.0000
B 0.7500 0.2500 0.5000
I 0.1057 0.1250 0.4807
I 0.3750 0.8943 0.0193
I 0.6443 0.6250 0.5193
I 0.8750 0.3557 0.9807
N 0.2500 0.7500 0.5000
N 0.5000 0.5000 0.0000

Summary:
E above lowest polymorph in eV/atom: 0.000
Raw formation energy in eV per atom: 1.82
Symmetry: I-42d

Record 3
First-principles (PBE) data for an optimized crystal structure of CaTlRh2, as listed in Alexandria.

a = 9.9271 Å, b = 9.9271 Å, c = 9.9271 Å
α = 153.68°, β = 153.68°, γ = 37.56°
Fractional coordinates of all 8 atoms:
Ca 0.0000 0.0000 0.0000
Ca 0.7500 0.2500 0.5000
Tl 0.2500 0.7500 0.5000
Tl 0.5000 0.5000 0.0000
Rh 0.2460 0.6250 0.1210
Rh 0.3750 0.4960 0.6210
Rh 0.5040 0.1250 0.8790
Rh 0.8750 0.7540 0.3790

Summary:
Symmetry: I-42d
ΔE_f in meV per atom: 179

Record 4
First-principles (PBE) data for an optimized crystal structure of Sr2TcPt, as listed in Alexandria.

a = 5.4689 Å, b = 5.4689 Å, c = 5.4689 Å
α = 128.14°, β = 126.65°, γ = 77.61°
Fractional coordinates of all 4 atoms:
Sr 0.2478 0.2478 0.0000
Sr 0.7522 0.7522 0.0000
Tc 0.5000 0.0000 0.5000
Pt 0.0000 0.5000 0.5000

Summary:
E above lowest polymorph in eV/atom: 0.472
Symmetry: Immm
ΔE_f in meV per atom: 398

Record 5
First-principles (PBE) data for an optimized crystal structure of Rb4Y3PuO8, as listed in Alexandria.

a = 7.7372 Å, b = 7.7372 Å, c = 7.7372 Å
α = 54.53°, β = 54.53°, γ = 54.53°
Fractional coordinates of all 16 atoms:
Rb 0.0000 0.0000 0.0000
Rb 0.0000 0.5000 0.5000
Rb 0.5000 0.0000 0.5000
Rb 0.5000 0.5000 0.0000
Y 0.0000 0.0000 0.5000
Y 0.0000 0.5000 0.0000
Y 0.5000 0.0000 0.0000
Pu 0.5000 0.5000 0.5000
O 0.2215 0.7274 0.7274
O 0.2254 0.2254 0.2254
O 0.2726 0.2726 0.7785
O 0.2726 0.7785 0.2726
O 0.7274 0.2215 0.7274
O 0.7274 0.7274 0.2215
O 0.7746 0.7746 0.7746
O 0.7785 0.2726 0.2726

Summary:
Raw formation energy in eV per atom: -2.57
Symmetry: R-3m

Record 6
First-principles (PBE) data for an optimized crystal structure of LiPm2TlBr8, as listed in Alexandria.

a = 6.9829 Å, b = 8.8622 Å, c = 7.2620 Å
α = 90.00°, β = 96.59°, γ = 90.00°
Fractional coordinates of all 12 atoms:
Li 0.0000 0.0000 0.0000
Pm 0.5000 0.2420 0.5000
Pm 0.5000 0.7580 0.5000
Tl 0.0000 0.5000 0.0000
Br 0.2366 0.2138 0.1727
Br 0.2366 0.7862 0.1727
Br 0.2815 0.0000 0.6521
Br 0.2917 0.5000 0.6402
Br 0.7083 0.5000 0.3598
Br 0.7185 0.0000 0.3479
Br 0.7634 0.2138 0.8273
Br 0.7634 0.7862 0.8273

Summary:
Raw formation energy in eV per atom: -1.61
Symmetry: P2/m

Record 7
First-principles (PBE) data for an optimized crystal structure of MgTiNi2, as listed in Alexandria.

a = 2.9953 Å, b = 2.9953 Å, c = 6.3301 Å
α = 90.00°, β = 90.00°, γ = 90.00°
Fractional coordinates of all 4 atoms:
Mg 0.0000 0.0000 0.0000
Ti 0.0000 0.0000 0.5000
Ni 0.5000 0.5000 0.2822
Ni 0.5000 0.5000 0.7178

Summary:
Symmetry: P4/mmm
ΔE_f in meV per atom: -341

Record 8
First-principles (PBE) data for an optimized crystal structure of NaSr2Ag2, as listed in Alexandria.

a = 9.2108 Å, b = 9.2108 Å, c = 3.8855 Å
α = 90.00°, β = 90.00°, γ = 90.00°
Fractional coordinates of all 10 atoms:
Na 0.0000 0.0000 0.0000
Na 0.5000 0.5000 0.0000
Sr 0.1552 0.3448 0.0000
Sr 0.3448 0.8448 0.0000
Sr 0.6552 0.1552 0.0000
Sr 0.8448 0.6552 0.0000
Ag 0.1335 0.6335 0.5000
Ag 0.3665 0.1335 0.5000
Ag 0.6335 0.8665 0.5000
Ag 0.8665 0.3665 0.5000

Summary:
E above lowest polymorph in eV/atom: 0.143
Symmetry: P4/mbm
ΔE_f in meV per atom: -96

Record 9
First-principles (PBE) data for an optimized crystal structure of CsGaSe2, as listed in Alexandria.

a = 14.2213 Å, b = 14.2213 Å, c = 6.1237 Å
α = 90.00°, β = 90.00°, γ = 163.77°
Fractional coordinates of all 8 atoms:
Cs 0.1839 0.8161 0.7500
Cs 0.8161 0.1839 0.2500
Ga 0.3930 0.6070 0.7500
Ga 0.6070 0.3930 0.2500
Se 0.0587 0.9413 0.2500
Se 0.3116 0.6884 0.7500
Se 0.6884 0.3116 0.2500
Se 0.9413 0.0587 0.7500

Summary:
Raw formation energy in eV per atom: -0.73
Symmetry: Cmcm

Record 10
First-principles (PBE) data for an optimized crystal structure of PrY2Ho2Mg5, as listed in Alexandria.

a = 10.6606 Å, b = 10.6606 Å, c = 5.1277 Å
α = 90.00°, β = 90.00°, γ = 90.00°
Fractional coordinates of all 20 atoms:
Pr 0.0000 0.0000 0.0000
Pr 0.5000 0.5000 0.0000
Y 0.1783 0.3217 0.0000
Y 0.3217 0.8217 0.0000
Y 0.6783 0.1783 0.0000
Y 0.8217 0.6783 0.0000
Ho 0.1179 0.6179 0.0000
Ho 0.3821 0.1179 0.0000
Ho 0.6179 0.8821 0.0000
Ho 0.8821 0.3821 0.0000
Mg 0.0000 0.5000 0.5000
Mg 0.0749 0.8018 0.5000
Mg 0.1982 0.0749 0.5000
Mg 0.3018 0.5749 0.5000
Mg 0.4251 0.3018 0.5000
Mg 0.5000 0.0000 0.5000
Mg 0.5749 0.6982 0.5000
Mg 0.6982 0.4251 0.5000
Mg 0.8018 0.9251 0.5000
Mg 0.9251 0.1982 0.5000

Summary:
Symmetry: P4/mbm
ΔE_f in meV per atom: 76

Record 11
First-principles (PBE) data for an optimized crystal structure of Ta2PbCl, as listed in Alexandria.

a = 3.0567 Å, b = 3.0567 Å, c = 10.4623 Å
α = 90.00°, β = 90.00°, γ = 108.80°
Fractional coordinates of all 4 atoms:
Ta 0.0000 0.0000 0.0000
Ta 0.5000 0.5000 0.2044
Pb 0.0000 0.0000 0.4477
Cl 0.5000 0.5000 0.8195

Summary:
E above lowest polymorph in eV/atom: 0.005
Raw formation energy in eV per atom: -0.07
Symmetry: Cmm2

Record 12
First-principles (PBE) data for an optimized crystal structure of LiBeFe2, as listed in Alexandria.

a = 2.3929 Å, b = 3.8709 Å, c = 4.6422 Å
α = 90.00°, β = 99.27°, γ = 90.00°
Fractional coordinates of all 4 atoms:
Li 0.0000 0.0000 0.0000
Be 0.8640 0.5000 0.2672
Fe 0.2981 0.5000 0.7473
Fe 0.5341 0.0000 0.4908

Summary:
Symmetry: Pm
ΔE_f in meV per atom: 137

Looking at VASP energy for the records above, in order, we have -66.8; -21.7; -36.7; -18.2; -118.4; -46.5; -22.4; -21.7; -27.6; -68.1; -29.6; -22.0 eV for the cell shown.